This record from the Alexandria database describes a relaxed structure of Tb4AlZnCd2. The functional is GGA-PBE.

Cell lengths 5.2120, 5.2120, 9.0406 Å; angles 73.25, 73.25, 60.00 degrees
Closest atoms and distances in Å follow each position.
Atoms (fractional coordinates):
Al (0.0000, 0.0000, 0.0000)  8 Tb 3.20-3.22
Tb (0.6240, 0.6240, 0.1281)  1 Zn 3.17, 4 Cd 3.18-3.21, 3 Al 3.20
Tb (0.3760, 0.3760, 0.8719)  1 Zn 3.17, 4 Cd 3.18-3.21, 3 Al 3.20
Tb (0.1260, 0.1260, 0.6219)  3 Zn 3.18, 4 Cd 3.19-3.21, 1 Al 3.22
Tb (0.8740, 0.8740, 0.3781)  3 Zn 3.18, 4 Cd 3.19-3.21, 1 Al 3.22
Zn (0.5000, 0.5000, 0.5000)  8 Tb 3.17-3.18
Cd (0.7493, 0.7493, 0.7520)  8 Tb 3.18-3.21
Cd (0.2507, 0.2507, 0.2480)  8 Tb 3.18-3.21

Values from the calculation:
Volume, Å³/cell: 201
Calculated total energy, eV per cell: -28.00
ρ, g cm⁻³: 7.9
E_form, kJ per mole of atoms: -32

=====

This record from the Alexandria database describes a relaxed structure of Tb4AlZn2Cd. The functional is GGA-PBE.

Cell lengths 5.1493, 5.1493, 8.9369 Å; angles 73.26, 73.26, 60.00 degrees
Closest atoms and distances in Å follow each position.
Atoms (fractional coordinates):
Al (0.5000, 0.5000, 0.5000)  8 Tb 3.10-3.13
Tb (0.8724, 0.8724, 0.3827)  4 Zn 3.12-3.18, 3 Al 3.13, 1 Cd 3.23
Tb (0.6224, 0.6224, 0.1327)  1 Al 3.10, 4 Zn 3.13-3.20, 3 Cd 3.18
Tb (0.1276, 0.1276, 0.6173)  4 Zn 3.12-3.18, 3 Al 3.13, 1 Cd 3.23
Tb (0.3776, 0.3776, 0.8673)  1 Al 3.10, 4 Zn 3.13-3.20, 3 Cd 3.18
Zn (0.2508, 0.2508, 0.2476)  8 Tb 3.12-3.20
Zn (0.7492, 0.7492, 0.7524)  8 Tb 3.12-3.20
Cd (0.0000, 0.0000, 0.0000)  8 Tb 3.18-3.23

Values from the calculation:
Volume, Å³/cell: 194
Calculated total energy, eV per cell: -28.44
ρ, g cm⁻³: 7.8
E_form, kJ per mole of atoms: -33

=====

This record from the Alexandria database describes a relaxed structure of TbAlZnCd. The functional is GGA-PBE.

Cell lengths 4.8981, 4.8981, 4.8981 Å; angles 60.00, 60.00, 60.00 degrees
Closest atoms and distances in Å follow each position.
Atoms (fractional coordinates):
Tb (0.5000, 0.5000, 0.5000)  4 Cd 3.00, 4 Zn 3.00
Zn (0.2500, 0.2500, 0.2500)  4 Tb 3.00, 4 Al 3.00
Cd (0.7500, 0.7500, 0.7500)  4 Tb 3.00, 4 Al 3.00
Al (0.0000, 0.0000, 0.0000)  4 Cd 3.00, 4 Zn 3.00

Values from the calculation:
Volume, Å³/cell: 83
Calculated total energy, eV per cell: -11.40
ρ, g cm⁻³: 7.3
E_form, kJ per mole of atoms: -20

=====

This record from the Alexandria database describes a relaxed structure of Tb2Al3Zn4Cd. The functional is GGA-PBE.

Cell lengths 4.2374, 4.2374, 10.8056 Å; angles 90.00, 90.00, 90.00 degrees
Closest atoms and distances in Å follow each position.
Atoms (fractional coordinates):
Zn (0.5000, 0.5000, 0.0000)  4 Al 2.55
Zn (0.0000, 0.0000, 0.0000)  4 Al 2.55
Zn (0.0000, 0.5000, 0.3538)  3 Al 2.41-2.64, 2 Cd 2.64
Zn (0.5000, 0.0000, 0.6462)  3 Al 2.41-2.64, 2 Cd 2.64
Al (0.5000, 0.0000, 0.8695)  5 Zn 2.41-2.55
Al (0.0000, 0.5000, 0.1305)  5 Zn 2.41-2.55
Al (0.0000, 0.0000, 0.5000)  4 Zn 2.64
Cd (0.5000, 0.5000, 0.5000)  4 Zn 2.64
Tb (0.0000, 0.5000, 0.7624)  6 Al 3.21-3.54, 8 Zn 3.25-3.33, 2 Cd 3.54
Tb (0.5000, 0.0000, 0.2376)  6 Al 3.21-3.54, 8 Zn 3.25-3.33, 2 Cd 3.54

Values from the calculation:
Volume, Å³/cell: 194
Calculated total energy, eV per cell: -29.77
ρ, g cm⁻³: 6.6
E_form, kJ per mole of atoms: -32

=====

This record from the Alexandria database describes a relaxed structure of AlCdTc2. The functional is GGA-PBE.

Cell lengths 2.7980, 2.7980, 9.3192 Å; angles 90.00, 90.00, 115.66 degrees
Closest atoms and distances in Å follow each position.
Atoms (fractional coordinates):
Al (0.0000, 0.0000, 0.4750)  2 Tc 2.59, 4 Al 2.80
Tc (0.0000, 0.0000, 0.0242)  6 Tc 2.56-2.80
Tc (0.5000, 0.5000, 0.2479)  6 Tc 2.56-2.80, 2 Al 2.59
Cd (0.5000, 0.5000, 0.7529)  6 Cd 2.80-2.98, 2 Tc 2.93, 2 Al 2.99

Values from the calculation:
Volume, Å³/cell: 66
Calculated total energy, eV per cell: -24.56
ρ, g cm⁻³: 8.5
E_form, kJ per mole of atoms: 20

=====

This record from the Alexandria database describes a relaxed structure of AlCdTc. The functional is GGA-PBE.

Cell lengths 7.0086, 6.8672, 2.8178 Å; angles 81.11, 75.48, 23.40 degrees
Closest atoms and distances in Å follow each position.
Atoms (fractional coordinates):
Cd (0.3296, 0.3296, 0.6704)  4 Cd 2.82, 2 Tc 2.89, 2 Al 3.01
Tc (0.6549, 0.6549, 0.3451)  2 Al 2.54, 4 Tc 2.82
Al (0.0154, 0.0154, 0.9846)  2 Tc 2.54, 4 Al 2.82

Values from the calculation:
Volume, Å³/cell: 51
Calculated total energy, eV per cell: -14.40
ρ, g cm⁻³: 7.7
E_form, kJ per mole of atoms: 20

=====

This record from the Alexandria database describes a relaxed structure of AlCdTc2. The functional is GGA-PBE.

Cell lengths 5.0419, 5.0419, 5.0419 Å; angles 134.73, 134.73, 65.95 degrees
Closest atoms and distances in Å follow each position.
Atoms (fractional coordinates):
Tc (0.5000, 0.5000, 0.0000)  4 Tc 2.74, 4 Al 2.87, 4 Cd 2.87
Tc (0.0000, 0.0000, 0.0000)  4 Tc 2.74, 4 Cd 2.87, 4 Al 2.87
Al (0.2500, 0.7500, 0.5000)  4 Cd 2.74, 8 Tc 2.87
Cd (0.7500, 0.2500, 0.5000)  4 Al 2.74, 8 Tc 2.87

Values from the calculation:
Volume, Å³/cell: 64
Calculated total energy, eV per cell: -24.11
ρ, g cm⁻³: 8.7
E_form, kJ per mole of atoms: 31

=====

This record from the Alexandria database describes a relaxed structure of Al2CdTc2. The functional is GGA-PBE.

Cell lengths 7.4629, 7.4629, 2.9735 Å; angles 90.00, 90.00, 90.00 degrees
Closest atoms and distances in Å follow each position.
Atoms (fractional coordinates):
Al (0.3235, 0.1765, 0.5000)  6 Tc 2.66-2.67, 2 Al 2.97
Al (0.8235, 0.3235, 0.5000)  6 Tc 2.66-2.67, 2 Al 2.97
Al (0.1765, 0.6765, 0.5000)  6 Tc 2.66-2.67, 2 Al 2.97
Al (0.6765, 0.8235, 0.5000)  6 Tc 2.66-2.67, 2 Al 2.97
Cd (0.0000, 0.0000, 0.0000)  2 Cd 2.97, 4 Tc 3.00, 8 Al 3.13
Cd (0.5000, 0.5000, 0.0000)  2 Cd 2.97, 4 Tc 3.00, 8 Al 3.13
Tc (0.1144, 0.3856, 0.0000)  1 Tc 2.41, 6 Al 2.66-2.67
Tc (0.6144, 0.1144, 0.0000)  1 Tc 2.41, 6 Al 2.66-2.67
Tc (0.8856, 0.6144, 0.0000)  1 Tc 2.41, 6 Al 2.66-2.67
Tc (0.3856, 0.8856, 0.0000)  1 Tc 2.41, 6 Al 2.66-2.67

Values from the calculation:
Volume, Å³/cell: 166
Calculated total energy, eV per cell: -58.33
ρ, g cm⁻³: 7.3
E_form, kJ per mole of atoms: -1

=====

This record from the Alexandria database describes a relaxed structure of AlCdTc4. The functional is GGA-PBE.

Cell lengths 5.1797, 5.1797, 5.1797 Å; angles 60.00, 60.00, 60.00 degrees
Closest atoms and distances in Å follow each position.
Atoms (fractional coordinates):
Tc (0.3751, 0.8747, 0.3751)  6 Tc 2.59
Tc (0.3751, 0.3751, 0.3751)  6 Tc 2.59
Tc (0.8747, 0.3751, 0.3751)  6 Tc 2.59
Tc (0.3751, 0.3751, 0.8747)  6 Tc 2.59
Cd (0.0000, 0.0000, 0.0000)  12 Tc 3.04, 4 Al 3.17
Al (0.7500, 0.7500, 0.7500)  12 Tc 3.04, 4 Cd 3.17

Values from the calculation:
Volume, Å³/cell: 98
Calculated total energy, eV per cell: -44.19
ρ, g cm⁻³: 9.0
E_form, kJ per mole of atoms: 31

=====

This record from the Alexandria database describes a relaxed structure of AlCdTc2. The functional is GGA-PBE.

Cell lengths 4.4615, 4.4615, 4.4615 Å; angles 60.00, 60.00, 60.00 degrees
Closest atoms and distances in Å follow each position.
Atoms (fractional coordinates):
Cd (0.5000, 0.5000, 0.5000)  8 Tc 2.73
Tc (0.7500, 0.7500, 0.7500)  4 Cd 2.73, 4 Al 2.73
Tc (0.2500, 0.2500, 0.2500)  4 Cd 2.73, 4 Al 2.73
Al (0.0000, 0.0000, 0.0000)  8 Tc 2.73

Values from the calculation:
Volume, Å³/cell: 63
Calculated total energy, eV per cell: -24.07
ρ, g cm⁻³: 8.9
E_form, kJ per mole of atoms: 32

=====

This record from the Alexandria database describes a relaxed structure of AlCdTc2. The functional is GGA-PBE.

Cell lengths 3.2743, 3.2743, 6.1348 Å; angles 90.00, 90.00, 90.00 degrees
Closest atoms and distances in Å follow each position.
Atoms (fractional coordinates):
Cd (0.5000, 0.5000, 0.7500)  8 Tc 2.98, 2 Al 3.07, 4 Cd 3.27
Tc (0.0000, 0.0000, 0.4445)  1 Tc 2.39, 4 Al 2.60
Tc (0.0000, 0.0000, 0.0555)  1 Tc 2.39, 4 Al 2.60
Al (0.5000, 0.5000, 0.2500)  8 Tc 2.60

Values from the calculation:
Volume, Å³/cell: 66
Calculated total energy, eV per cell: -24.82
ρ, g cm⁻³: 8.5
E_form, kJ per mole of atoms: 14

=====

This record from the Alexandria database describes a relaxed structure of AlCdTc2. The functional is GGA-PBE.

Cell lengths 5.2658, 5.2658, 5.2658 Å; angles 145.53, 129.21, 62.83 degrees
Closest atoms and distances in Å follow each position.
Atoms (fractional coordinates):
Cd (0.7500, 0.2500, 0.5000)  4 Al 2.74, 4 Tc 2.84
Al (0.2500, 0.7500, 0.5000)  4 Tc 2.64, 4 Cd 2.74
Tc (0.4865, 0.4865, 0.0000)  2 Al 2.64, 4 Tc 2.76, 2 Cd 2.84
Tc (0.0135, 0.0135, 0.0000)  2 Al 2.64, 4 Tc 2.76, 2 Cd 2.84

Values from the calculation:
Volume, Å³/cell: 63
Calculated total energy, eV per cell: -24.50
ρ, g cm⁻³: 8.8
E_form, kJ per mole of atoms: 21

=====

This record from the Alexandria database describes a relaxed structure of Al2CdTc. The functional is GGA-PBE.

Cell lengths 5.1270, 5.1270, 4.7878 Å; angles 81.88, 81.88, 31.82 degrees
Closest atoms and distances in Å follow each position.
Atoms (fractional coordinates):
Al (0.9875, 0.9875, 0.0257)  3 Tc 2.72-2.95, 4 Cd 2.74-2.83, 3 Al 2.81-2.91
Al (0.7465, 0.7465, 0.7421)  4 Tc 2.72-2.84, 3 Cd 2.74-3.01, 3 Al 2.81-2.91
Cd (0.5091, 0.5091, 0.5080)  7 Al 2.74-3.01, 2 Cd 2.81, 3 Tc 2.97-3.01
Tc (0.2568, 0.2568, 0.2242)  7 Al 2.72-2.95, 2 Tc 2.81, 3 Cd 2.97-3.01

Values from the calculation:
Volume, Å³/cell: 66
Calculated total energy, eV per cell: -18.67
ρ, g cm⁻³: 6.7
E_form, kJ per mole of atoms: 2

=====

This record from the Alexandria database describes a relaxed structure of Al2CdTc. The functional is GGA-PBE.

Cell lengths 3.4430, 3.4430, 5.5934 Å; angles 90.00, 90.00, 90.00 degrees
Closest atoms and distances in Å follow each position.
Atoms (fractional coordinates):
Tc (0.5000, 0.5000, 0.7888)  5 Al 2.53-2.65
Al (0.5000, 0.5000, 0.2408)  1 Tc 2.53, 4 Cd 2.82
Al (0.0000, 0.0000, 0.9739)  4 Tc 2.65, 2 Cd 2.67-2.92, 4 Al 2.86
Cd (0.0000, 0.0000, 0.4966)  6 Al 2.67-2.92, 4 Tc 2.93

Values from the calculation:
Volume, Å³/cell: 66
Calculated total energy, eV per cell: -18.82
ρ, g cm⁻³: 6.6
E_form, kJ per mole of atoms: -1

=====

This record from the Alexandria database describes a relaxed structure of AlCdTc2. The functional is GGA-PBE.

Cell lengths 2.7725, 2.7725, 8.3036 Å; angles 90.00, 90.00, 90.00 degrees
Closest atoms and distances in Å follow each position.
Atoms (fractional coordinates):
Cd (0.5000, 0.5000, 0.7500)  4 Cd 2.77, 8 Tc 3.00
Tc (0.0000, 0.0000, 0.0230)  4 Al 2.72, 4 Tc 2.77, 4 Cd 3.00
Tc (0.0000, 0.0000, 0.4770)  4 Al 2.72, 4 Tc 2.77, 4 Cd 3.00
Al (0.5000, 0.5000, 0.2500)  8 Tc 2.72, 4 Al 2.77

Values from the calculation:
Volume, Å³/cell: 64
Calculated total energy, eV per cell: -24.49
ρ, g cm⁻³: 8.7
E_form, kJ per mole of atoms: 22

=====

This record from the Alexandria database describes a relaxed structure of AlCdTc2. The functional is GGA-PBE.

Cell lengths 5.0302, 5.0302, 2.7352 Å; angles 90.00, 90.00, 112.83 degrees
Closest atoms and distances in Å follow each position.
Atoms (fractional coordinates):
Cd (0.0000, 0.5000, 0.5000)  2 Cd 2.74, 2 Al 2.78, 8 Tc 2.86
Tc (0.5000, 0.5000, 0.0000)  4 Tc 2.74-2.78, 4 Al 2.86, 4 Cd 2.86
Tc (0.0000, 0.0000, 0.0000)  4 Tc 2.74-2.78, 4 Cd 2.86, 4 Al 2.86
Al (0.5000, 0.0000, 0.5000)  2 Al 2.74, 2 Cd 2.78, 8 Tc 2.86

Values from the calculation:
Volume, Å³/cell: 64
Calculated total energy, eV per cell: -24.16
ρ, g cm⁻³: 8.7
E_form, kJ per mole of atoms: 30

=====

This record from the Alexandria database describes a relaxed structure of Al2CdTc. The functional is GGA-PBE.

Cell lengths 5.1320, 5.1320, 5.1320 Å; angles 136.04, 136.04, 63.91 degrees
Closest atoms and distances in Å follow each position.
Atoms (fractional coordinates):
Cd (0.5000, 0.5000, 0.0000)  8 Al 2.72-2.90, 4 Tc 2.90
Al (0.2500, 0.7500, 0.5000)  4 Tc 2.72, 4 Al 2.90, 4 Cd 2.90
Al (0.0000, 0.0000, 0.0000)  4 Cd 2.72, 4 Tc 2.90, 4 Al 2.90
Tc (0.7500, 0.2500, 0.5000)  8 Al 2.72-2.90, 4 Cd 2.90

Values from the calculation:
Volume, Å³/cell: 64
Calculated total energy, eV per cell: -19.08
ρ, g cm⁻³: 6.8
E_form, kJ per mole of atoms: -8

=====

This record from the Alexandria database describes a relaxed structure of Al2CdTc. The functional is GGA-PBE.

Cell lengths 9.3313, 9.3313, 9.3313 Å; angles 18.20, 18.20, 18.20 degrees
Closest atoms and distances in Å follow each position.
Atoms (fractional coordinates):
Al (0.4877, 0.4877, 0.4877)  3 Tc 2.59
Al (0.0123, 0.0123, 0.0123)  3 Tc 2.59
Cd (0.2500, 0.2500, 0.2500)  6 Cd 2.95, 6 Al 3.13
Tc (0.7500, 0.7500, 0.7500)  6 Al 2.59

Values from the calculation:
Volume, Å³/cell: 69
Calculated total energy, eV per cell: -18.83
ρ, g cm⁻³: 6.3
E_form, kJ per mole of atoms: -2

=====

This record from the Alexandria database describes a relaxed structure of AlCdTc2. The functional is GGA-PBE.

Cell lengths 4.5621, 4.5621, 4.5621 Å; angles 123.88, 123.88, 83.40 degrees
Closest atoms and distances in Å follow each position.
Atoms (fractional coordinates):
Cd (0.7500, 0.2500, 0.5000)  4 Al 2.74, 8 Tc 2.74-3.03
Tc (0.2500, 0.7500, 0.5000)  4 Tc 2.74, 4 Al 2.74, 4 Cd 3.03
Tc (0.0000, 0.0000, 0.0000)  4 Tc 2.74, 4 Cd 2.74, 4 Al 3.03
Al (0.5000, 0.5000, 0.0000)  4 Cd 2.74, 8 Tc 2.74-3.03

Values from the calculation:
Volume, Å³/cell: 63
Calculated total energy, eV per cell: -24.78
ρ, g cm⁻³: 8.9
E_form, kJ per mole of atoms: 15

=====

This record from the Alexandria database describes a relaxed structure of Al2CdTc. The functional is GGA-PBE.

Cell lengths 3.2859, 3.2927, 6.8682 Å; angles 61.36, 90.00, 90.00 degrees
Closest atoms and distances in Å follow each position.
Atoms (fractional coordinates):
Al (0.0000, 0.4600, 0.5398)  1 Al 2.53, 4 Tc 2.65
Al (0.0000, 0.0400, 0.9602)  1 Al 2.53, 4 Tc 2.65
Tc (0.5000, 0.7500, 0.7500)  8 Al 2.65
Cd (0.5000, 0.2500, 0.2500)  8 Al 2.91, 2 Tc 3.01

Values from the calculation:
Volume, Å³/cell: 65
Calculated total energy, eV per cell: -19.41
ρ, g cm⁻³: 6.7
E_form, kJ per mole of atoms: -16